# PmZnCu

A relaxed structure of PmZnCu (PBE-GGA, OQMD via LeMat-Bulk).

Output
total magnetic moment: 0.0016 μB per atom
ΔH_f (0 K): 277 meV per atom

a b c (Å): 4.7045 4.7045 4.7045
angles (deg): 60.00 60.00 60.00
Atoms (fractional coordinates):
Pm 0.0000 0.0000 0.0000
Zn 0.2500 0.2500 0.2500
Cu 0.7500 0.7500 0.7500